(1)
# Er5TmRh6, optimized geometry, DFT PBE
# - DFT total energy (eV/atom) = -6.89
data_Er5TmRh6
_cell_length_a 4.782
_cell_length_b 14.364
_cell_length_c 6.817
_cell_angle_alpha 90.00
_cell_angle_beta 90.00
_cell_angle_gamma 90.00
_symmetry_space_group_name_H-M 'C m m m'
_symmetry_Int_Tables_number 65
_symmetry_space_group_name_Hall '-C 2 2'
loop_
_atom_site_label
_atom_site_fract_x
_atom_site_fract_y
_atom_site_fract_z
_atom_site_occupancy
Er1 0.000 0.000 0.000 1
Er2 0.000 0.333 0.000 1
Er3 0.000 0.334 0.500 1
Tm1 0.000 0.000 0.500 1
Rh1 0.000 0.166 0.250 1
Rh2 0.000 0.500 0.251 1

---

(2)
# ErTm4Rh2, optimized geometry, DFT PBE
# - DFT total energy (eV/atom) = -5.84
data_ErTm4Rh2
_cell_length_a 7.737
_cell_length_b 6.246
_cell_length_c 7.794
_cell_angle_alpha 90.00
_cell_angle_beta 112.50
_cell_angle_gamma 90.00
_symmetry_space_group_name_H-M 'P 1 21/m 1'
_symmetry_Int_Tables_number 11
loop_
_symmetry_equiv_pos_as_xyz
'x,y,z'
'-x,-y,-z'
'-x,y+1/2,-z'
'x,-y+1/2,z'
loop_
_atom_site_label
_atom_site_fract_x
_atom_site_fract_y
_atom_site_fract_z
_atom_site_occupancy
Er1 0.026 0.250 0.160 1
Tm1 0.238 0.502 0.588 1
Tm2 0.335 0.750 0.248 1
Tm3 0.384 0.250 0.018 1
Rh1 0.012 0.250 0.744 1
Rh2 0.412 0.250 0.375 1

---

(3)
# Er2TmRh2, optimized geometry, DFT PBE
# - DFT total energy (eV/atom) = -6.14
data_Er2TmRh2
_cell_length_a 5.973
_cell_length_b 14.053
_cell_length_c 5.533
_cell_angle_alpha 90.00
_cell_angle_beta 90.00
_cell_angle_gamma 90.00
_symmetry_space_group_name_H-M 'C m c m'
_symmetry_Int_Tables_number 63
_symmetry_space_group_name_Hall '-C 2c 2'
loop_
_atom_site_label
_atom_site_fract_x
_atom_site_fract_y
_atom_site_fract_z
_atom_site_occupancy
Er1 0.000 0.082 0.250 1
Er2 0.000 0.280 0.750 1
Tm1 0.000 0.500 0.000 1
Rh1 0.243 0.124 0.750 1